The following is a DFT calculation (PBE) of a relaxed MgTc crystal.

The total energy is -91.45 eV/cell.

Cell: 10.4377 5.4405 4.5973 Å, 90.00 90.00 90.00°
Last column: nearest neighbours and their distance in Å.
Atoms (fractional coordinates):
1 Tc 0.7704 0.7269 0.0000  4 Tc 2.47-2.67
2 Mg 0.2541 0.7526 0.0000  7 Mg 2.69-2.95, 3 Tc 2.93-3.01
3 Tc 0.8963 0.7731 0.5000  4 Tc 2.47-2.67
4 Tc 0.7704 0.2731 0.0000  4 Tc 2.47-2.67
5 Tc 0.6697 0.0000 0.5000  6 Tc 2.67-2.93, 4 Mg 2.71-2.72
6 Tc 0.5288 0.5000 0.0000  8 Mg 2.69-2.93, 2 Tc 2.81
7 Mg 0.4126 0.7474 0.5000  7 Mg 2.69-2.95, 3 Tc 2.93-3.01
8 Mg 0.6619 0.5000 0.5000  10 Tc 2.69-2.86, 2 Mg 2.93
9 Tc 0.9970 0.5000 0.0000  6 Tc 2.67-2.93, 4 Mg 2.71-2.72
10 Mg 0.1345 0.5000 0.5000  6 Tc 2.71-2.90, 4 Mg 2.95
11 Mg 0.0048 0.0000 0.0000  10 Tc 2.69-2.86, 2 Mg 2.93
12 Mg 0.5322 0.0000 0.0000  6 Tc 2.71-2.90, 4 Mg 2.95
13 Mg 0.2541 0.2474 0.0000  7 Mg 2.69-2.95, 3 Tc 2.93-3.01
14 Tc 0.1379 0.0000 0.5000  8 Mg 2.69-2.93, 2 Tc 2.81
15 Tc 0.8963 0.2269 0.5000  4 Tc 2.47-2.67
16 Mg 0.4126 0.2526 0.5000  7 Mg 2.69-2.95, 3 Tc 2.93-3.01

***

The following is a DFT calculation (PBE) of a relaxed DyAgGeSeS2 crystal.

The total energy is -57.04 eV/cell.

Cell: 6.6809 6.6809 10.8516 Å, 90.00 90.00 146.14°
Last column: nearest neighbours and their distance in Å.
Atoms (fractional coordinates):
1 S 0.6411 0.3589 0.9367  1 Ag 2.47, 2 Dy 2.74
2 Ag 0.4688 0.5312 0.2500  2 S 2.47, 2 Se 2.70
3 S 0.3589 0.6411 0.4367  1 Ag 2.47, 2 Dy 2.74
4 Se 0.1152 0.8848 0.2500  2 Ag 2.70, 2 Ge 2.78
5 Se 0.8848 0.1152 0.7500  2 Ag 2.70, 2 Ge 2.78
6 Ge 0.7706 0.2294 0.2500  2 Se 2.78, 4 S 3.03
7 Ge 0.2294 0.7706 0.7500  2 Se 2.78, 4 S 3.03
8 Ag 0.5312 0.4688 0.7500  2 S 2.47, 2 Se 2.70
9 S 0.3589 0.6411 0.0633  1 Ag 2.47, 2 Dy 2.74
10 S 0.6411 0.3589 0.5633  1 Ag 2.47, 2 Dy 2.74
11 Dy 0.0000 0.0000 0.0000  4 S 2.74
12 Dy 0.0000 0.0000 0.5000  4 S 2.74